Entry 1:
# SbAu2Cl

A relaxed structure of SbAu2Cl (PBE, the Alexandria database).

The structure in POSCAR format:
```
SbAu2Cl
1.0
-3.3094 3.3094 5.3706
3.3094 -3.3094 5.3706
3.3094 3.3094 -5.3706
Sb Au Cl
2 4 2
direct
0.0000 0.0000 0.0000
0.7500 0.2500 0.5000
0.1091 0.6250 0.9841
0.3750 0.3591 0.4841
0.6409 0.1250 0.0159
0.8750 0.8909 0.5159
0.2500 0.7500 0.5000
0.5000 0.5000 0.0000
```

Energy above the lowest structure with this stoichiometry, meV/atom: 136
Electronic total energy, eV per cell: -24.81
Crystal system: tetragonal
ΔE_f (raw), eV per atom: 0.03
Spin magnetization, μB/cell: 0.00
Symmetry: I-42d (122)

Entry 2:
# SbAu2Cl

A relaxed structure of SbAu2Cl (PBE, the Alexandria database).

The structure in POSCAR format:
```
SbAu2Cl
1.0
4.6129 -1.8433 0.0000
4.6129 1.8433 0.0000
-4.5572 0.0000 6.4273
Sb Au Cl
1 2 1
direct
0.0000 0.0000 0.0000
0.2247 0.2247 0.8731
0.4175 0.4175 0.6877
0.7915 0.7915 0.3956
```

Energy above the lowest structure with this stoichiometry, meV/atom: 1
Electronic total energy, eV per cell: -12.95
Crystal system: monoclinic
ΔE_f (raw), eV per atom: -0.11
Spin magnetization, μB/cell: 0.00
Symmetry: Cm (8)

Entry 3:
# SbAu2Cl

A relaxed structure of SbAu2Cl (PBE, the Alexandria database).

The structure in POSCAR format:
```
SbAu2Cl
1.0
3.1262 0.0000 0.0000
0.0000 5.2005 0.0000
-0.0520 0.0000 5.6312
Sb Au Cl
1 2 1
direct
0.0000 0.0000 0.0000
0.0018 0.5000 0.2474
0.9982 0.5000 0.7526
0.0000 0.0000 0.5000
```

Energy above the lowest structure with this stoichiometry, meV/atom: 187
Electronic total energy, eV per cell: -12.20
Crystal system: monoclinic
ΔE_f (raw), eV per atom: 0.08
Spin magnetization, μB/cell: 0.00
Symmetry: P2/m (10)

Entry 4:
# Sb2AuCl

A relaxed structure of Sb2AuCl (PBE, the Alexandria database).

The structure in POSCAR format:
```
Sb2AuCl
1.0
7.1326 -1.9455 0.0000
7.1326 1.9455 0.0000
-1.2154 0.0000 4.0299
Sb Au Cl
2 1 1
direct
0.0000 0.0000 0.0000
0.6712 0.6712 0.1671
0.1385 0.1385 0.6352
0.3929 0.3929 0.3922
```

Energy above the lowest structure with this stoichiometry, meV/atom: 117
Electronic total energy, eV per cell: -13.87
Crystal system: monoclinic
ΔE_f (raw), eV per atom: -0.12
Spin magnetization, μB/cell: 0.00
Symmetry: Cm (8)

Entry 5:
# SbAu2Cl

A relaxed structure of SbAu2Cl (PBE, the Alexandria database).

The structure in POSCAR format:
```
SbAu2Cl
1.0
0.0000 3.4976 3.4976
3.4976 0.0000 3.4976
3.4976 3.4976 0.0000
Sb Au Cl
1 2 1
direct
0.0000 0.0000 0.0000
0.2500 0.2500 0.2500
0.7500 0.7500 0.7500
0.5000 0.5000 0.5000
```

Energy above the lowest structure with this stoichiometry, meV/atom: 385
Electronic total energy, eV per cell: -11.41
Crystal system: cubic
ΔE_f (raw), eV per atom: 0.28
Spin magnetization, μB/cell: 0.00
Symmetry: Fm-3m (225)

Entry 6:
# SbAu2Cl

A relaxed structure of SbAu2Cl (PBE, the Alexandria database).

The structure in POSCAR format:
```
SbAu2Cl
1.0
1.9322 1.1155 7.1799
-1.9322 1.1155 7.1799
0.0000 -2.2311 7.1799
Sb Au Cl
1 2 1
direct
0.0000 0.0000 0.0000
0.2548 0.2548 0.2548
0.7452 0.7452 0.7452
0.5000 0.5000 0.5000
```

Energy above the lowest structure with this stoichiometry, meV/atom: 23
Electronic total energy, eV per cell: -12.86
Crystal system: trigonal
ΔE_f (raw), eV per atom: -0.08
Spin magnetization, μB/cell: 0.00
Symmetry: R-3m (166)

Entry 7:
# SbAu2Cl

A relaxed structure of SbAu2Cl (PBE, the Alexandria database).

The structure in POSCAR format:
```
SbAu2Cl
1.0
1.8718 -3.1485 0.0000
1.8718 3.1485 0.0000
0.0000 0.0000 8.0054
Sb Au Cl
1 2 1
direct
0.0000 0.0000 0.0000
0.5000 0.5000 0.2504
0.5000 0.5000 0.7496
0.0000 0.0000 0.5000
```

Energy above the lowest structure with this stoichiometry, meV/atom: 177
Electronic total energy, eV per cell: -12.24
Crystal system: orthorhombic
ΔE_f (raw), eV per atom: 0.07
Spin magnetization, μB/cell: 0.00
Symmetry: Cmmm (65)

Entry 8:
# Sb2AuCl

A relaxed structure of Sb2AuCl (PBE, the Alexandria database).

The structure in POSCAR format:
```
Sb2AuCl
1.0
3.6775 -2.2131 0.0000
3.6775 2.2131 0.0000
-1.2953 0.0000 6.9916
Sb Au Cl
2 1 1
direct
0.1763 0.1763 0.1791
0.8237 0.8237 0.8209
0.5000 0.5000 0.0000
0.0000 0.0000 0.5000
```

Energy above the lowest structure with this stoichiometry, meV/atom: 0
Electronic total energy, eV per cell: -14.33
Crystal system: monoclinic
ΔE_f (raw), eV per atom: -0.24
Spin magnetization, μB/cell: 0.00
Symmetry: C2/m (12)

Entry 9:
# Sb2AuCl

A relaxed structure of Sb2AuCl (PBE, the Alexandria database).

The structure in POSCAR format:
```
Sb2AuCl
1.0
7.1908 0.0000 0.0000
0.0000 4.9537 0.0000
0.0000 0.0000 12.6000
Sb Au Cl
8 4 4
direct
0.0883 0.1927 0.0686
0.0883 0.3073 0.4314
0.4117 0.6927 0.4314
0.4117 0.8073 0.0686
0.5883 0.1927 0.9314
0.5883 0.3073 0.5686
0.9117 0.6927 0.5686
0.9117 0.8073 0.9314
0.2500 0.0000 0.5925
0.2500 0.5000 0.9075
0.7500 0.0000 0.4075
0.7500 0.5000 0.0925
0.0683 0.2500 0.7500
0.4317 0.7500 0.7500
0.5683 0.2500 0.2500
0.9317 0.7500 0.2500
```

Energy above the lowest structure with this stoichiometry, meV/atom: 97
Electronic total energy, eV per cell: -55.78
Crystal system: orthorhombic
ΔE_f (raw), eV per atom: -0.14
Spin magnetization, μB/cell: 0.00
Symmetry: Pnna (52)

Entry 10:
# Sb2AuCl2

A relaxed structure of Sb2AuCl2 (PBE, the Alexandria database).

The structure in POSCAR format:
```
Sb2AuCl2
1.0
7.2168 0.0000 0.0000
0.0000 7.2168 0.0000
0.0000 0.0000 5.3305
Sb Au Cl
4 2 4
direct
0.1480 0.3520 0.0000
0.3520 0.8520 0.0000
0.6480 0.1480 0.0000
0.8520 0.6480 0.0000
0.0000 0.0000 0.0000
0.5000 0.5000 0.0000
0.1740 0.3260 0.5000
0.3260 0.8260 0.5000
0.6740 0.1740 0.5000
0.8260 0.6740 0.5000
```

Electronic total energy, eV per cell: -34.20
Crystal system: tetragonal
ΔE_f (raw), eV per atom: -0.38
Spin magnetization, μB/cell: 0.00
Symmetry: P4/mbm (127)

Entry 11:
# SbAuCl3

A relaxed structure of SbAuCl3 (PBE, the Alexandria database).

The structure in POSCAR format:
```
SbAuCl3
1.0
5.3051 0.0000 0.0000
0.0000 5.3051 0.0000
0.0000 0.0000 5.3051
Sb Au Cl
1 1 3
direct
0.0000 0.0000 0.0000
0.5000 0.5000 0.5000
0.0000 0.0000 0.5000
0.0000 0.5000 0.0000
0.5000 0.0000 0.0000
```

Energy above the lowest structure with this stoichiometry, meV/atom: 0
Electronic total energy, eV per cell: -13.22
Crystal system: cubic
ΔE_f (raw), eV per atom: -0.06
Spin magnetization, μB/cell: 0.79
Symmetry: Pm-3m (221)

Entry 12:
# Sb2AuCl

A relaxed structure of Sb2AuCl (PBE, the Alexandria database).

The structure in POSCAR format:
```
Sb2AuCl
1.0
2.1976 1.2688 6.6232
-2.1976 1.2688 6.6232
0.0000 -2.5376 6.6232
Sb Au Cl
2 1 1
direct
0.2251 0.2251 0.2251
0.7749 0.7749 0.7749
0.5000 0.5000 0.5000
0.0000 0.0000 0.0000
```

Energy above the lowest structure with this stoichiometry, meV/atom: 26
Electronic total energy, eV per cell: -14.23
Crystal system: trigonal
ΔE_f (raw), eV per atom: -0.22
Spin magnetization, μB/cell: 0.00
Symmetry: R-3m (166)

> Which formula does entry 4 have?

Sb2AuCl